The following is a PBE calculation of crystalline AlInOs2 at its relaxed geometry, from Alexandria via LeMat-Bulk.

The structure in POSCAR format:
```
AlInOs2
1.0
4.482 0.000 0.000
2.241 3.881 0.000
2.241 1.294 3.660
In Al Os
1 1 2
direct
0.750 0.750 0.750
0.500 0.500 0.500
0.000 0.000 0.000
0.250 0.250 0.250
```

Calculated values
Energy above the lowest structure with this stoichiometry in meV per atom: 380.8
Total moment in μB/f.u.: 0.000